1.
Below is crystalline La6ErIn at its relaxed geometry, with properties calculated at the GGA-PBE level.

Lattice parameters (Å, degrees): 5.1213 5.1213 10.3527 90.00 90.00 90.00
Closest atoms and distances in Å follow each position.
Fractional positions:
La1 0.5000 0.5000 0.0000  8 La 3.61, 4 In 3.62
La2 0.5000 0.5000 0.5000  4 Er 3.62, 8 La 3.67
La3 0.5000 0.0000 0.2455  8 La 3.61-3.67, 2 In 3.61, 2 Er 3.67
La4 0.5000 0.0000 0.7545  8 La 3.61-3.67, 2 In 3.61, 2 Er 3.67
La5 0.0000 0.5000 0.2455  8 La 3.61-3.67, 2 In 3.61, 2 Er 3.67
La6 0.0000 0.5000 0.7545  2 In 3.61, 8 La 3.61-3.67, 2 Er 3.67
Er1 0.0000 0.0000 0.5000  12 La 3.62-3.67
In1 0.0000 0.0000 0.0000  12 La 3.61-3.62

Calculated values
DOS at the Fermi energy: 10.58 states/eV/f.u.
ΔE_f: -0.132 eV per atom

2.
Below is crystalline PdRuO at its relaxed geometry, with properties calculated at the GGA-PBE level.

Lattice parameters (Å, degrees): 2.7544 5.1680 5.8090 102.95 90.00 90.00
Closest atoms and distances in Å follow each position.
Fractional positions:
Ru1 0.2500 0.0270 0.6980  3 O 2.03-2.11
Ru2 0.7500 0.9730 0.3020  3 O 2.03-2.11
Pd1 0.2500 0.3304 0.1101  1 O 2.28, 1 Ru 2.55
Pd2 0.7500 0.6696 0.8899  1 O 2.28, 1 Ru 2.55
O1 0.7500 0.2793 0.6118  3 Ru 2.03-2.11
O2 0.2500 0.7207 0.3882  3 Ru 2.03-2.11

Calculated values
DOS at the Fermi energy: 2.25 states/eV/f.u.
energy relative to the elements, uncorrected: -43 meV per atom

3.
Below is crystalline Ba2CaCd at its relaxed geometry, with properties calculated at the GGA-PBE level.

Lattice parameters (Å, degrees): 4.2310 4.1103 11.0794 100.69 90.00 90.00
Closest atoms and distances in Å follow each position.
Fractional positions:
Ba1 0.5000 0.4755 0.9510  4 Cd 3.61
Ba2 0.5000 0.6679 0.3358  4 Cd 3.62
Ca1 0.0000 0.3108 0.6216  4 Ca 4.11-4.23, 6 Ba 4.16-4.29
Cd1 0.0000 0.0712 0.1425  8 Ba 3.61-3.62

Calculated values
DOS at the Fermi energy: 5.08 states/eV/f.u.
ΔE_f: -0.090 eV per atom

4.
Below is crystalline BaTiIr3 at its relaxed geometry, with properties calculated at the GGA-PBE level.

Lattice parameters (Å, degrees): 5.0137 5.0137 5.0137 90.00 90.00 90.00
Closest atoms and distances in Å follow each position.
Fractional positions:
Ir1 0.0000 0.5000 0.0000  2 Ba 2.51
Ir2 0.0000 0.0000 0.5000  2 Ba 2.51
Ir3 0.5000 0.0000 0.0000  2 Ba 2.51
Ba1 0.0000 0.0000 0.0000  6 Ir 2.51
Ti1 0.5000 0.5000 0.5000  12 Ir 3.55

Calculated values
DOS at the Fermi energy: 9.67 states/eV/f.u.
ΔE_f: 2.633 eV per atom

5.
Below is crystalline BaMg2Ge at its relaxed geometry, with properties calculated at the GGA-PBE level.

Lattice parameters (Å, degrees): 4.6184 4.6184 10.8778 90.00 90.00 90.00
Closest atoms and distances in Å follow each position.
Fractional positions:
Ba1 0.5000 0.0000 0.2462  4 Ge 3.45, 9 Mg 3.50-3.76
Ba2 0.0000 0.5000 0.7538  4 Ge 3.45, 9 Mg 3.50-3.76
Mg1 0.5000 0.0000 0.9247  1 Ge 2.98
Mg2 0.0000 0.5000 0.0753  1 Ge 2.98
Mg3 0.0000 0.0000 0.5000  4 Ge 2.83
Mg4 0.5000 0.5000 0.5000  4 Ge 2.83
Ge1 0.5000 0.0000 0.6511  5 Mg 2.83-2.98
Ge2 0.0000 0.5000 0.3489  5 Mg 2.83-2.98

Calculated values
DOS at the Fermi energy: 1.12 states/eV/f.u.
ΔE_f: -0.332 eV per atom

6.
Below is crystalline Sr2CuPt at its relaxed geometry, with properties calculated at the GGA-PBE level.

Lattice parameters (Å, degrees): 5.2581 5.2581 5.2581 60.00 60.00 60.00
Closest atoms and distances in Å follow each position.
Fractional positions:
Sr1 0.0000 0.0000 0.0000  4 Cu 3.22, 4 Pt 3.22
Sr2 0.5000 0.5000 0.5000  4 Cu 3.22, 4 Pt 3.22
Cu1 0.2500 0.2500 0.2500  8 Sr 3.22
Pt1 0.7500 0.7500 0.7500  8 Sr 3.22

Calculated values
DOS at the Fermi energy: 2.06 states/eV/f.u.
ΔE_f: -0.398 eV per atom

7.
Below is crystalline TiGaAs2 at its relaxed geometry, with properties calculated at the GGA-PBE level.

Lattice parameters (Å, degrees): 5.8924 5.8924 7.0191 65.18 65.18 90.00
Closest atoms and distances in Å follow each position.
Fractional positions:
As1 0.6243 0.1250 0.2500  2 Ti 2.51, 2 Ga 2.52
As2 0.1257 0.6250 0.2500  2 Ti 2.51, 2 Ga 2.52
As3 0.3750 0.3757 0.7500  2 Ti 2.51, 2 Ga 2.52
As4 0.8750 0.8743 0.7500  2 Ti 2.51, 2 Ga 2.52
Ga1 0.0000 0.0000 0.0000  4 As 2.52
Ga2 0.7500 0.2500 0.5000  4 As 2.52
Ti1 0.5000 0.5000 0.0000  4 As 2.51
Ti2 0.2500 0.7500 0.5000  4 As 2.51

Calculated values
DOS at the Fermi energy: 2.65 states/eV/f.u.
ΔE_f: -0.242 eV per atom

8.
Below is crystalline NaHfB2O6 at its relaxed geometry, with properties calculated at the GGA-PBE level.

Lattice parameters (Å, degrees): 6.0887 6.0887 6.7327 100.17 100.17 105.01
Closest atoms and distances in Å follow each position.
Fractional positions:
Na1 0.0982 0.9018 0.2500  6 O 2.38-2.64
Na2 0.9018 0.0982 0.7500  6 O 2.38-2.64
Hf1 0.5691 0.4309 0.2500  8 O 2.08-2.31
Hf2 0.4309 0.5691 0.7500  8 O 2.08-2.31
B1 0.4147 0.1199 0.7632  3 O 1.35-1.40
B2 0.8801 0.5853 0.7368  3 O 1.35-1.40
B3 0.5853 0.8801 0.2368  3 O 1.35-1.40
B4 0.1199 0.4147 0.2632  3 O 1.35-1.40
O1 0.9166 0.4700 0.2422  1 B 1.35
O2 0.5300 0.0834 0.2578  1 B 1.35
O3 0.0834 0.5300 0.7578  1 B 1.35
O4 0.4700 0.9166 0.7422  1 B 1.35
O5 0.1724 0.2514 0.1287  1 B 1.36
O6 0.7486 0.8276 0.3713  1 B 1.36
O7 0.8276 0.7486 0.8713  1 B 1.36
O8 0.2514 0.1724 0.6287  1 B 1.36
O9 0.3148 0.5442 0.4242  1 B 1.40
O10 0.4558 0.6852 0.0758  1 B 1.40
O11 0.6852 0.4558 0.5758  1 B 1.40
O12 0.5442 0.3148 0.9242  1 B 1.40

Calculated values
DOS at the Fermi energy: 4.22 states/eV/f.u.
energy relative to the elements, uncorrected: -2446 meV per atom

9.
Below is crystalline DyAl7Ni2 at its relaxed geometry, with properties calculated at the GGA-PBE level.

Lattice parameters (Å, degrees): 4.3810 6.6331 6.6331 101.63 90.00 90.00
Closest atoms and distances in Å follow each position.
Fractional positions:
Dy1 0.0000 0.0000 0.0000  10 Al 3.18-3.32, 4 Ni 3.49
Al1 0.0000 0.6769 0.3231  2 Ni 2.27
Al2 0.0000 0.3231 0.6769  2 Ni 2.27
Al3 0.5000 0.0995 0.3540  2 Ni 2.37-2.55, 3 Al 2.55-2.64
Al4 0.5000 0.9005 0.6460  2 Ni 2.37-2.55, 3 Al 2.55-2.64
Al5 0.5000 0.3540 0.0995  2 Ni 2.37-2.55, 3 Al 2.55-2.64
Al6 0.5000 0.6460 0.9005  2 Ni 2.37-2.55, 3 Al 2.55-2.64
Al7 0.5000 0.5000 0.5000  2 Ni 2.42, 4 Al 2.64
Ni1 0.5000 0.7354 0.2646  5 Al 2.27-2.42
Ni2 0.5000 0.2646 0.7354  5 Al 2.27-2.42

Calculated values
DOS at the Fermi energy: 5.74 states/eV/f.u.
ΔE_f: -0.193 eV per atom

10.
Below is crystalline Na2Mn2H at its relaxed geometry, with properties calculated at the GGA-PBE level.

Lattice parameters (Å, degrees): 8.9799 8.9799 2.4696 90.00 90.00 90.00
Closest atoms and distances in Å follow each position.
Fractional positions:
Na1 0.2890 0.7890 0.0000  2 Na 2.47
Na2 0.7890 0.7110 0.0000  2 Na 2.47
Na3 0.7110 0.2110 0.0000  2 Na 2.47
Na4 0.2110 0.2890 0.0000  2 Na 2.47
Mn1 0.0731 0.5731 0.5000  1 Mn 1.86
Mn2 0.5731 0.9269 0.5000  1 Mn 1.86
Mn3 0.9269 0.4269 0.5000  1 Mn 1.86
Mn4 0.4269 0.0731 0.5000  1 Mn 1.86
H1 0.0000 0.0000 0.0000  2 H 2.47
H2 0.5000 0.5000 0.0000  2 H 2.47

Calculated values
uncorrected energy: -3.604 eV per atom
DOS at the Fermi energy: 2.72 states/eV/f.u.

11.
Below is crystalline CdReP2O at its relaxed geometry, with properties calculated at the GGA-PBE level.

Lattice parameters (Å, degrees): 4.9281 4.9281 3.9262 90.00 90.00 90.00
Closest atoms and distances in Å follow each position.
Fractional positions:
Re1 0.5000 0.5000 0.5000  8 P 3.15, 4 O 3.48
O1 0.0000 0.0000 0.5000  2 Cd 1.96
P1 0.0000 0.5000 0.0000  2 Cd 2.46
P2 0.5000 0.0000 0.0000  2 Cd 2.46
Cd1 0.0000 0.0000 0.0000  2 O 1.96

Calculated values
DOS at the Fermi energy: 3.61 states/eV/f.u.
energy relative to the elements, uncorrected: 1545 meV per atom

12.
Below is crystalline ZnAgAs2 at its relaxed geometry, with properties calculated at the GGA-PBE level.

Lattice parameters (Å, degrees): 5.0576 5.0576 5.0576 130.04 130.04 73.34
Closest atoms and distances in Å follow each position.
Fractional positions:
Ag1 0.7500 0.2500 0.5000  8 As 2.95, 4 Zn 3.02
As1 0.0000 0.0000 0.0000  4 Zn 2.95, 4 Ag 2.95, 4 As 3.02
As2 0.5000 0.5000 0.0000  4 Zn 2.95, 4 Ag 2.95, 4 As 3.02
Zn1 0.2500 0.7500 0.5000  8 As 2.95, 4 Ag 3.02

Calculated values
DOS at the Fermi energy: 1.51 states/eV/f.u.
ΔE_f: 0.251 eV per atom